## Ce2GeOs (PBE)

Data for a geometry-optimized Ce2GeOs structure.

The structure in POSCAR format:
```
Ce2GeOs
1.0
4.2293 0.0000 0.0000
0.0000 4.1144 0.0000
0.0000 0.0000 10.5034
Ce Ge Os
4 2 2
direct
0.0000 0.0000 0.0000 Ce
0.0000 0.5000 0.5000 Ce
0.5000 0.0000 0.2819 Ce
0.5000 0.5000 0.7819 Ce
0.0000 0.0000 0.7115 Ge
0.0000 0.5000 0.2115 Ge
0.5000 0.0000 0.5546 Os
0.5000 0.5000 0.0546 Os
```

Values from the calculation:
The crystal system is orthorhombic. The energy above the lowest structure with this stoichiometry comes out at 0.016 eV per atom. As for the formation energy: -45.6 kJ per mole of atoms. As for the total energy: -7.4010 eV/atom. As for the density of states at the Fermi level: 11.3 states/eV/cell.



## RbSrPb2F8 (PBE)

Data for a geometry-optimized RbSrPb2F8 structure.

The structure in POSCAR format:
```
RbSrPb2F8
1.0
4.1887 0.0000 0.0000
0.0000 6.0574 0.0000
0.0000 0.0000 8.3462
Rb Sr Pb F
1 1 2 8
direct
0.0000 0.0000 0.0000 Rb
0.0000 0.0000 0.5000 Sr
0.5000 0.5000 0.2478 Pb
0.5000 0.5000 0.7522 Pb
0.0000 0.2745 0.2709 F
0.0000 0.2745 0.7291 F
0.0000 0.7255 0.2709 F
0.0000 0.7255 0.7291 F
0.5000 0.2457 0.5000 F
0.5000 0.2919 0.0000 F
0.5000 0.7081 0.0000 F
0.5000 0.7543 0.5000 F
```

Values from the calculation:
For the uncorrected formation energy, the calculation gives -2.720 eV/atom. The crystal system is orthorhombic. As for the total energy: -4.8062 eV/atom. As for the density of states at the Fermi level: 4.8 states/eV/cell.